Record 1
Compound: ReWSe2
Source: Alexandria
Functional: PBE-GGA
Structure: optimized geometry

E above lowest polymorph: 575.0 meV/atom
total moment: 0.0 μB/f.u.
formation energy from raw total energies: 583 meV/atom
symmetry: P4/mmm (123)

Structure (POSCAR):
```
ReWSe2
1.0
3.134 0.000 0.000
0.000 3.134 0.000
0.000 0.000 6.259
Re W Se
1 1 2
Cartesian
0.000 0.000 0.000
0.000 0.000 3.130
1.567 1.567 1.575
1.567 1.567 4.685
```

Record 2
Compound: HoEr5Pb6
Source: Alexandria
Functional: PBE-GGA
Structure: optimized geometry

ΔH_f (0 K): -4.8 eV per formula unit
total moment: 0.0 μB/f.u.
symmetry: C2/m (12)

Structure (POSCAR):
```
HoEr5Pb6
1.0
3.050 -7.671 0.000
3.050 7.671 0.000
-1.795 0.000 7.398
Ho Er Pb
1 5 6
Cartesian
0.000 0.000 0.000
-0.898 0.000 3.699
3.050 2.564 0.000
2.153 2.548 3.699
2.153 -2.548 3.699
3.050 -2.564 0.000
2.599 5.109 1.856
1.707 5.109 5.542
1.693 0.000 5.554
2.612 0.000 1.844
2.599 -5.109 1.856
1.707 -5.109 5.542
```

Record 3
Compound: KSb2Ru
Source: Alexandria
Functional: PBE-GGA
Structure: optimized geometry

E above lowest polymorph: 293.2 meV/atom
total moment: 0.0 μB/f.u.
formation energy from raw total energies: 141 meV/atom
symmetry: P4mm (99)

Structure (POSCAR):
```
KSb2Ru
1.0
3.641 0.000 0.000
0.000 3.641 0.000
0.000 0.000 8.115
K Sb Ru
1 2 1
Cartesian
0.000 0.000 0.000
0.000 0.000 3.526
1.821 1.821 5.564
1.821 1.821 2.849
```

Record 4
Compound: Tb8PtSe4S3
Source: Alexandria
Functional: PBE-GGA
Structure: optimized geometry

total moment: 0.0 μB/f.u.
formation energy from raw total energies: -1809 meV/atom
symmetry: R-3m (166)

Structure (POSCAR):
```
Tb8PtSe4S3
1.0
4.035 2.329 6.674
-4.035 2.329 6.674
0.000 -4.659 6.674
Tb Pt Se S
8 1 4 3
Cartesian
0.000 0.000 4.866
-2.005 -1.158 11.562
0.000 -2.315 8.459
-2.005 1.158 8.459
2.005 -1.158 11.562
0.000 2.315 11.562
2.005 1.158 8.459
0.000 0.000 15.155
0.000 0.000 10.011
0.000 0.000 0.000
-2.017 -1.165 6.674
-2.017 1.165 13.347
0.000 2.329 6.674
-4.035 0.000 10.011
-2.017 1.165 3.337
2.017 1.165 3.337
```

Number 1: calculated total energy -30.04 eV for the cell shown. Number 2: calculated total energy -54.47 eV for the cell shown. Number 3: calculated total energy -18.05 eV for the cell shown. Number 4: calculated total energy -98.34 eV for the cell shown.